# 1
# HfPd2Pt

A relaxed structure of HfPd2Pt (PBE, OQMD via LeMat-Bulk).

DFT formation energy: -752 meV/atom
Size of the total moment: 0.01 μB per formula unit

Unit cell a=4.5436 b=4.5436 c=4.5436 alpha=60.00 beta=60.00 gamma=60.00
Last column: nearest neighbours and their distance in Å.
Sites, in units of the cell vectors:
Pd1 0.0000 0.0000 0.0000  4 Pd 2.78, 4 Hf 2.78
Pt1 0.5000 0.5000 0.5000  4 Hf 2.78, 4 Pd 2.78
Hf1 0.2500 0.2500 0.2500  4 Pt 2.78, 4 Pd 2.78
Pd2 0.7500 0.7500 0.7500  4 Pd 2.78, 4 Pt 2.78

=====

# 2
# HfZnPdPt

A relaxed structure of HfZnPdPt (PBE, OQMD via LeMat-Bulk).

DFT formation energy: -818 meV/atom
Size of the total moment: 0.00 μB per formula unit

Unit cell a=4.8289 b=4.8289 c=4.8289 alpha=129.77 beta=129.77 gamma=73.77
Last column: nearest neighbours and their distance in Å.
Sites, in units of the cell vectors:
Pt1 0.2500 0.7500 0.5000  4 Hf 2.82, 4 Zn 2.82, 4 Pd 2.90
Hf1 0.0000 0.0000 0.0000  4 Pd 2.82, 4 Pt 2.82, 4 Zn 2.90
Pd1 0.7500 0.2500 0.5000  4 Hf 2.82, 4 Zn 2.82, 4 Pt 2.90
Zn1 0.5000 0.5000 0.0000  4 Pt 2.82, 4 Pd 2.82, 4 Hf 2.90

=====

# 3
# RbHfPd

A relaxed structure of RbHfPd (PBE, OQMD via LeMat-Bulk).

Energy relative to the lowest polymorph listed for this composition: 837.7 meV/atom
Size of the total moment: 0.01 μB per formula unit

Unit cell a=4.7960 b=4.7960 c=4.7960 alpha=60.00 beta=60.00 gamma=60.00
Last column: nearest neighbours and their distance in Å.
Sites, in units of the cell vectors:
Rb1 0.0000 0.0000 0.0000  4 Pd 2.94, 4 Hf 2.94
Pd1 0.7500 0.7500 0.7500  4 Rb 2.94
Hf1 0.2500 0.2500 0.2500  4 Rb 2.94

=====

# 4
# RbHfPd

A relaxed structure of RbHfPd (PBE, OQMD via LeMat-Bulk).

Energy relative to the lowest polymorph listed for this composition: 0.0 meV/atom
Size of the total moment: 0.02 μB per formula unit

Unit cell a=4.9326 b=4.9326 c=4.9326 alpha=60.00 beta=60.00 gamma=60.00
Last column: nearest neighbours and their distance in Å.
Sites, in units of the cell vectors:
Pd1 0.0000 0.0000 0.0000  4 Rb 3.02, 4 Hf 3.02
Rb1 0.7500 0.7500 0.7500  4 Pd 3.02
Hf1 0.2500 0.2500 0.2500  4 Pd 3.02

=====

# 5
# RbHfPdS3

A relaxed structure of RbHfPdS3 (PBE, OQMD via LeMat-Bulk).

Final energy: -5.953 eV/atom
Size of the total moment: 0.00 μB per formula unit

Unit cell a=8.4930 b=3.7429 c=9.8286 alpha=90.00 beta=112.34 gamma=90.00
Last column: nearest neighbours and their distance in Å.
Sites, in units of the cell vectors:
Pd1 0.6059 0.7500 0.5940  3 S 2.36-2.53
S1 0.3808 0.2500 0.1442  1 Pd 2.53, 2 Hf 2.55
S2 0.7623 0.2500 0.5694  2 Pd 2.36, 1 Hf 2.54
S3 0.6192 0.7500 0.8558  1 Pd 2.53, 2 Hf 2.55
Rb1 0.2625 0.2500 0.7321  6 S 3.30-3.44
Hf1 0.8160 0.2500 0.8416  6 S 2.54-2.61
S4 0.0413 0.7500 0.8718  3 Hf 2.61
Pd2 0.3941 0.2500 0.4060  3 S 2.36-2.53
S5 0.2377 0.7500 0.4306  2 Pd 2.36, 1 Hf 2.54
S6 0.9587 0.2500 0.1282  3 Hf 2.61
Rb2 0.7375 0.7500 0.2679  6 S 3.30-3.44
Hf2 0.1840 0.7500 0.1584  6 S 2.54-2.61

=====

# 6
# RbHfTe3Pd

A relaxed structure of RbHfTe3Pd (PBE, OQMD via LeMat-Bulk).

Final energy: -5.040 eV/atom
Size of the total moment: 0.01 μB per formula unit

Unit cell a=8.6536 b=8.6536 c=10.7563 alpha=90.00 beta=90.00 gamma=153.06
Last column: nearest neighbours and their distance in Å.
Sites, in units of the cell vectors:
Te1 0.3783 0.6217 0.0438  1 Pd 2.69, 2 Hf 2.91
Te2 0.0723 0.9277 0.2500  2 Pd 2.67, 2 Hf 2.95
Hf1 0.0000 0.0000 0.5000  6 Te 2.91-2.95
Te3 0.6217 0.3783 0.9562  1 Pd 2.69, 2 Hf 2.91
Te4 0.3783 0.6217 0.4562  1 Pd 2.69, 2 Hf 2.91
Te5 0.6217 0.3783 0.5438  1 Pd 2.69, 2 Hf 2.91
Hf2 0.0000 0.0000 0.0000  6 Te 2.91-2.95
Te6 0.9277 0.0723 0.7500  2 Pd 2.67, 2 Hf 2.95
Rb1 0.2434 0.7566 0.7500  8 Te 3.63-3.89, 2 Rb 4.03
Pd1 0.5315 0.4685 0.7500  4 Te 2.67-2.69
Rb2 0.7566 0.2434 0.2500  8 Te 3.63-3.89, 2 Rb 4.03
Pd2 0.4685 0.5315 0.2500  4 Te 2.67-2.69

=====

# 7
# Hf2RePd

A relaxed structure of Hf2RePd (PBE, OQMD via LeMat-Bulk).

DFT formation energy: -549 meV/atom
Size of the total moment: 0.02 μB per formula unit

Unit cell a=6.5672 b=4.6534 c=9.3082 alpha=90.00 beta=90.00 gamma=90.00
Last column: nearest neighbours and their distance in Å.
Sites, in units of the cell vectors:
Hf1 0.5000 0.7500 0.6249  4 Pd 2.85, 4 Re 2.85
Re1 0.7500 0.2500 0.6250  8 Hf 2.85
Hf2 0.5000 0.2500 0.3751  4 Pd 2.85, 4 Re 2.85
Hf3 0.0000 0.2500 0.8751  4 Pd 2.85, 4 Re 2.85
Pd1 0.7500 0.7500 0.8749  8 Hf 2.85
Hf4 0.0000 0.2500 0.3750  4 Pd 2.85, 4 Re 2.85
Pd2 0.7500 0.7500 0.3749  8 Hf 2.85
Hf5 0.0000 0.7500 0.6250  4 Pd 2.85, 4 Re 2.85
Re2 0.2500 0.7500 0.8750  8 Hf 2.85
Re3 0.2500 0.7500 0.3750  8 Hf 2.85
Hf6 0.5000 0.2500 0.8750  4 Pd 2.85, 4 Re 2.85
Re4 0.7500 0.2500 0.1250  8 Hf 2.85
Hf7 0.5000 0.7500 0.1250  4 Pd 2.85, 4 Re 2.85
Hf8 0.0000 0.7500 0.1249  4 Pd 2.85, 4 Re 2.85
Pd3 0.2500 0.2500 0.1251  8 Hf 2.85
Pd4 0.2500 0.2500 0.6251  8 Hf 2.85

=====

# 8
# Hf2RePd

A relaxed structure of Hf2RePd (PBE, OQMD via LeMat-Bulk).

DFT formation energy: -597 meV/atom
Size of the total moment: 0.00 μB per formula unit

Unit cell a=3.2997 b=3.2997 c=6.5756 alpha=90.00 beta=90.00 gamma=90.00
Last column: nearest neighbours and their distance in Å.
Sites, in units of the cell vectors:
Hf1 0.5000 0.5000 0.7389  4 Re 2.81, 4 Pd 2.90, 1 Hf 3.14
Hf2 0.5000 0.5000 0.2611  4 Re 2.81, 4 Pd 2.90, 1 Hf 3.14
Re1 0.0000 0.0000 0.5000  8 Hf 2.81
Pd1 0.0000 0.0000 0.0000  8 Hf 2.90

=====

What is the size of the total moment in the first record? 0.01 μB per formula unit